Nd4Tl2S, relaxed, DFT GGA-PBE; size of the total moment = 0.0 μB per formula unit; E_tot = -4.786 eV/atom
1.0
12.9694 0.0000 0.0000
0.0000 4.1694 0.0000
-5.0420 0.0000 7.8049
Nd Tl S
8 4 2
direct
0.0869 0.0000 0.3517 Nd
0.1633 0.5000 0.0676 Nd
0.3367 0.0000 0.9324 Nd
0.4131 0.5000 0.6483 Nd
0.5869 0.5000 0.3517 Nd
0.6633 0.0000 0.0676 Nd
0.8367 0.5000 0.9324 Nd
0.9131 0.0000 0.6483 Nd
0.1305 0.5000 0.6681 Tl
0.3695 0.0000 0.3319 Tl
0.6305 0.0000 0.6681 Tl
0.8695 0.5000 0.3319 Tl
0.0000 0.0000 0.0000 S
0.5000 0.5000 0.0000 S

=====

Nd3TlS4, relaxed, DFT GGA-PBE; size of the total moment = 0.0 μB per formula unit; E_tot = -5.802 eV/atom
1.0
5.8447 0.0000 0.0000
0.0000 5.8447 0.0000
0.0000 0.0000 5.8447
Nd Tl S
3 1 4
direct
0.0000 0.0000 0.5000 Nd
0.0000 0.5000 0.0000 Nd
0.5000 0.0000 0.0000 Nd
0.5000 0.5000 0.5000 Tl
0.0000 0.0000 0.0000 S
0.0000 0.5000 0.5000 S
0.5000 0.0000 0.5000 S
0.5000 0.5000 0.0000 S

=====

Nd3TlS2, relaxed, DFT GGA-PBE; size of the total moment = 0.0 μB per formula unit; E_tot = -5.381 eV/atom
1.0
2.5268 -6.4890 0.0000
2.5268 6.4890 0.0000
0.0000 0.0000 9.9380
Nd Tl S
6 2 4
direct
0.1049 0.8951 0.7500 Nd
0.3700 0.6300 0.5506 Nd
0.3700 0.6300 0.9494 Nd
0.6300 0.3700 0.0506 Nd
0.6300 0.3700 0.4494 Nd
0.8951 0.1049 0.2500 Nd
0.2227 0.7773 0.2500 Tl
0.7773 0.2227 0.7500 Tl
0.0000 0.0000 0.0000 S
0.0000 0.0000 0.5000 S
0.4707 0.5293 0.2500 S
0.5293 0.4707 0.7500 S

=====

NdTl5S5, relaxed, DFT GGA-PBE; size of the total moment = 0.0 μB per formula unit; E_tot = -3.993 eV/atom
1.0
6.8799 -2.8780 0.0000
6.8799 2.8780 0.0000
-2.7305 0.0000 8.3966
Nd Tl S
1 5 5
direct
0.0000 0.0000 0.0000 Nd
0.0000 0.0000 0.5000 Tl
0.3217 0.3217 0.1494 Tl
0.3267 0.3267 0.6823 Tl
0.6733 0.6733 0.3177 Tl
0.6783 0.6783 0.8506 Tl
0.1545 0.1545 0.3073 S
0.1590 0.1590 0.8444 S
0.5000 0.5000 0.0000 S
0.8410 0.8410 0.1556 S
0.8455 0.8455 0.6927 S

=====

Nd3TlS6, relaxed, DFT GGA-PBE; size of the total moment = 0.0 μB per formula unit; E_tot = -5.714 eV/atom
1.0
5.5304 -6.9240 0.0000
5.5304 6.9240 0.0000
0.0000 0.0000 6.8329
Nd Tl S
6 2 12
direct
0.0963 0.9037 0.5000 Nd
0.2148 0.4116 0.5876 Nd
0.4116 0.2148 0.0876 Nd
0.5884 0.7852 0.5876 Nd
0.7852 0.5884 0.0876 Nd
0.9037 0.0963 0.0000 Nd
0.3003 0.6997 0.1101 Tl
0.6997 0.3003 0.6101 Tl
0.0574 0.5970 0.3190 S
0.1332 0.1904 0.2926 S
0.1904 0.1332 0.7926 S
0.2789 0.7211 0.7449 S
0.4030 0.9426 0.3190 S
0.4694 0.5306 0.2843 S
0.5306 0.4694 0.7843 S
0.5970 0.0574 0.8190 S
0.7211 0.2789 0.2449 S
0.8096 0.8668 0.2926 S
0.8668 0.8096 0.7926 S
0.9426 0.4030 0.8190 S

=====

Nd3TlS, relaxed, DFT GGA-PBE; size of the total moment = 0.0 μB per formula unit; E above lowest polymorph = 133 meV per atom
1.0
5.3968 0.0000 0.0000
0.0000 5.3968 0.0000
0.0000 0.0000 5.3968
Nd Tl S
3 1 1
direct
0.0000 0.0000 0.5000 Nd
0.0000 0.5000 0.0000 Nd
0.5000 0.0000 0.0000 Nd
0.5000 0.5000 0.5000 Tl
0.0000 0.0000 0.0000 S

=====

Nd2TlS4, relaxed, DFT GGA-PBE; size of the total moment = 0.0 μB per formula unit; E_tot = -5.352 eV/atom
1.0
7.6560 0.0000 0.0000
0.0000 7.3853 0.0000
-1.7321 0.0000 7.5907
Nd Tl S
4 2 8
direct
0.0333 0.2500 0.1466 Nd
0.4659 0.7500 0.8382 Nd
0.5341 0.2500 0.1618 Nd
0.9667 0.7500 0.8534 Nd
0.1548 0.2500 0.6625 Tl
0.8452 0.7500 0.3375 Tl
0.1495 0.7500 0.5860 S
0.2512 0.0063 0.9842 S
0.2512 0.4937 0.9842 S
0.3383 0.2500 0.4108 S
0.6617 0.7500 0.5892 S
0.7488 0.5063 0.0158 S
0.7488 0.9937 0.0158 S
0.8505 0.2500 0.4140 S

=====

Nd3TlS, relaxed, DFT GGA-PBE; size of the total moment = 0.5 μB per formula unit; E above lowest polymorph = 0 meV per atom
1.0
9.2803 0.0000 0.0000
0.0000 4.1034 0.0000
0.0000 0.0000 15.5317
Nd Tl S
12 4 4
direct
0.0244 0.2500 0.1083 Nd
0.1635 0.2500 0.5157 Nd
0.1947 0.7500 0.2892 Nd
0.3053 0.2500 0.7892 Nd
0.3365 0.7500 0.0157 Nd
0.4756 0.7500 0.6083 Nd
0.5244 0.2500 0.3917 Nd
0.6635 0.2500 0.9843 Nd
0.6947 0.7500 0.2108 Nd
0.8053 0.2500 0.7108 Nd
0.8365 0.7500 0.4843 Nd
0.9756 0.7500 0.8917 Nd
0.0850 0.7500 0.6782 Tl
0.4150 0.2500 0.1782 Tl
0.5850 0.7500 0.8218 Tl
0.9150 0.2500 0.3218 Tl
0.1651 0.2500 0.9467 S
0.3349 0.7500 0.4467 S
0.6651 0.2500 0.5533 S
0.8349 0.7500 0.0533 S

=====

NdTl2S8, relaxed, DFT GGA-PBE; size of the total moment = 0.0 μB per formula unit; E_tot = -4.290 eV/atom
1.0
4.3343 0.0000 0.0000
0.2828 5.1746 0.0000
1.4088 1.7216 13.3641
Nd Tl S
1 2 8
direct
0.0000 0.0000 0.0000 Nd
0.4092 0.7931 0.3875 Tl
0.5908 0.2069 0.6125 Tl
0.0065 0.6743 0.6022 S
0.0695 0.0138 0.7864 S
0.1367 0.6456 0.7435 S
0.4960 0.3682 0.9470 S
0.5040 0.6318 0.0530 S
0.8633 0.3544 0.2565 S
0.9305 0.9862 0.2136 S
0.9935 0.3257 0.3978 S

=====

Nd7TlS5, relaxed, DFT GGA-PBE; size of the total moment = 0.0 μB per formula unit; E_tot = -5.969 eV/atom
1.0
6.7782 -2.0454 0.0000
6.7782 2.0454 0.0000
-0.0134 0.0000 24.5948
Nd Tl S
14 2 10
direct
0.0187 0.0187 0.2501 Nd
0.1351 0.1351 0.9639 Nd
0.1358 0.1358 0.5361 Nd
0.3239 0.3239 0.3292 Nd
0.3248 0.3248 0.1708 Nd
0.4087 0.4087 0.8922 Nd
0.4096 0.4096 0.6077 Nd
0.5904 0.5904 0.3923 Nd
0.5913 0.5913 0.1078 Nd
0.6752 0.6752 0.8292 Nd
0.6761 0.6761 0.6708 Nd
0.8642 0.8642 0.4639 Nd
0.8649 0.8649 0.0361 Nd
0.9813 0.9813 0.7499 Nd
0.2990 0.2990 0.7502 Tl
0.7010 0.7010 0.2498 Tl
0.0434 0.0434 0.6399 S
0.0435 0.0435 0.8601 S
0.2263 0.2263 0.0694 S
0.2267 0.2267 0.4306 S
0.5000 0.5000 0.0000 S
0.5000 0.5000 0.5000 S
0.7733 0.7733 0.5694 S
0.7737 0.7737 0.9306 S
0.9565 0.9565 0.1399 S
0.9566 0.9566 0.3601 S

=====

Nd6TlS4, relaxed, DFT GGA-PBE; size of the total moment = 0.5 μB per formula unit; E_tot = -5.880 eV/atom
1.0
2.0464 -6.8437 0.0000
2.0464 6.8437 0.0000
0.0000 0.0000 20.9641
Nd Tl S
12 2 8
direct
0.0000 0.0000 0.0000 Nd
0.0000 0.0000 0.5000 Nd
0.1586 0.8414 0.7500 Nd
0.2719 0.7281 0.0816 Nd
0.2719 0.7281 0.4184 Nd
0.4617 0.5383 0.6564 Nd
0.4617 0.5383 0.8436 Nd
0.5383 0.4617 0.1564 Nd
0.5383 0.4617 0.3436 Nd
0.7281 0.2719 0.5816 Nd
0.7281 0.2719 0.9184 Nd
0.8414 0.1586 0.2500 Nd
0.1605 0.8395 0.2500 Tl
0.8395 0.1605 0.7500 Tl
0.0954 0.9046 0.6223 S
0.0954 0.9046 0.8777 S
0.3629 0.6371 0.5398 S
0.3629 0.6371 0.9602 S
0.6371 0.3629 0.0398 S
0.6371 0.3629 0.4602 S
0.9046 0.0954 0.1223 S
0.9046 0.0954 0.3777 S

=====

NdTmTl2S4, relaxed, DFT GGA-PBE; size of the total moment = 0.0 μB per formula unit; E_tot = -5.273 eV/atom
1.0
7.0715 0.0000 0.0000
0.0000 4.0784 0.0000
-2.3508 0.0000 7.5142
Nd Tm Tl S
1 1 2 4
direct
0.0000 0.0000 0.0000 Nd
0.5000 0.5000 0.0000 Tm
0.0000 0.5000 0.5000 Tl
0.5000 0.0000 0.5000 Tl
0.2450 0.5000 0.2019 S
0.2783 0.0000 0.8028 S
0.7217 0.0000 0.1972 S
0.7550 0.5000 0.7981 S

=====

Nd2TmTl3S6, relaxed, DFT GGA-PBE; size of the total moment = 0.0 μB per formula unit; E_tot = -5.284 eV/atom
1.0
3.5652 -6.1719 0.0000
3.5652 6.1719 0.0000
-2.3749 0.0000 7.5060
Nd Tm Tl S
2 1 3 6
direct
0.1667 0.8333 0.0000 Nd
0.8333 0.1667 0.0000 Nd
0.5000 0.5000 0.0000 Tm
0.0000 0.0000 0.5000 Tl
0.3324 0.6676 0.5000 Tl
0.6676 0.3324 0.5000 Tl
0.1121 0.4331 0.7998 S
0.2464 0.2464 0.2029 S
0.4331 0.1121 0.7998 S
0.5669 0.8879 0.2002 S
0.7536 0.7536 0.7971 S
0.8879 0.5669 0.2002 S

=====

NdTm2Tl3S6, relaxed, DFT GGA-PBE; size of the total moment = 0.0 μB per formula unit; E_tot = -5.271 eV/atom
1.0
3.5049 -6.0672 0.0000
3.5049 6.0672 0.0000
-2.3352 0.0000 7.5174
Nd Tm Tl S
1 2 3 6
direct
0.0000 0.0000 0.0000 Nd
0.3334 0.6666 0.0000 Tm
0.6666 0.3334 0.0000 Tm
0.1650 0.8350 0.5000 Tl
0.5000 0.5000 0.5000 Tl
0.8350 0.1650 0.5000 Tl
0.0662 0.4120 0.1988 S
0.2802 0.2802 0.8037 S
0.4120 0.0662 0.1988 S
0.5880 0.9338 0.8012 S
0.7198 0.7198 0.1963 S
0.9338 0.5880 0.8012 S

=====

Nd3UTl4S8, relaxed, DFT GGA-PBE; size of the total moment = 3.0 μB per formula unit; E_tot = -5.586 eV/atom
1.0
4.1500 2.3960 7.5182
-4.1500 2.3960 7.5182
0.0000 -4.7920 7.5182
Nd U Tl S
3 1 4 8
direct
0.0000 0.5000 0.5000 Nd
0.5000 0.0000 0.5000 Nd
0.5000 0.5000 0.0000 Nd
0.0000 0.0000 0.0000 U
0.0000 0.0000 0.5000 Tl
0.0000 0.5000 0.0000 Tl
0.5000 0.0000 0.0000 Tl
0.5000 0.5000 0.5000 Tl
0.2290 0.2290 0.7434 S
0.2290 0.7434 0.2290 S
0.2566 0.7710 0.7710 S
0.2652 0.2652 0.2652 S
0.7348 0.7348 0.7348 S
0.7434 0.2290 0.2290 S
0.7710 0.2566 0.7710 S
0.7710 0.7710 0.2566 S

=====

NdUTl2S6, relaxed, DFT GGA-PBE; size of the total moment = 0.0 μB per formula unit; E_tot = -5.532 eV/atom
1.0
7.2011 0.0000 0.0000
0.0000 7.3388 0.0000
-7.1972 0.0000 10.4117
Nd U Tl S
2 2 4 12
direct
0.0000 0.0000 0.0000 Nd
0.0000 0.5000 0.5000 Nd
0.5000 0.0000 0.5000 U
0.5000 0.5000 0.0000 U
0.2413 0.0499 0.7483 Tl
0.2413 0.4501 0.2483 Tl
0.7587 0.5499 0.7517 Tl
0.7587 0.9501 0.2517 Tl
0.1598 0.1797 0.4555 S
0.1598 0.3203 0.9555 S
0.2741 0.7068 0.4498 S
0.2741 0.7932 0.9498 S
0.3578 0.0295 0.2626 S
0.3578 0.4705 0.7626 S
0.6422 0.5295 0.2374 S
0.6422 0.9705 0.7374 S
0.7259 0.2068 0.0502 S
0.7259 0.2932 0.5502 S
0.8402 0.6797 0.0445 S
0.8402 0.8203 0.5445 S

=====

NdUTl2S4, relaxed, DFT GGA-PBE; size of the total moment = 3.0 μB per formula unit; E_tot = -5.880 eV/atom
1.0
7.1186 0.0000 0.0000
0.0000 4.1132 0.0000
-2.3721 0.0000 7.5497
Nd U Tl S
1 1 2 4
direct
0.0000 0.0000 0.0000 Nd
0.5000 0.5000 0.0000 U
0.0000 0.5000 0.5000 Tl
0.5000 0.0000 0.5000 Tl
0.2431 0.5000 0.2022 S
0.2776 0.0000 0.8024 S
0.7224 0.0000 0.1976 S
0.7569 0.5000 0.7978 S

=====

Nd3Tl3VS8, relaxed, DFT GGA-PBE; size of the total moment = 1.0 μB per formula unit; E_tot = -5.483 eV/atom
1.0
4.0166 2.3190 7.5213
-4.0166 2.3190 7.5213
0.0000 -4.6379 7.5213
Nd Tl V S
3 3 1 8
direct
0.0000 0.5000 0.5000 Nd
0.5000 0.0000 0.5000 Nd
0.5000 0.5000 0.0000 Nd
0.0000 0.0000 0.5000 Tl
0.0000 0.5000 0.0000 Tl
0.5000 0.0000 0.0000 Tl
0.0000 0.0000 0.0000 V
0.2089 0.2089 0.7709 S
0.2089 0.7709 0.2089 S
0.2291 0.7911 0.7911 S
0.2637 0.2637 0.2637 S
0.7363 0.7363 0.7363 S
0.7709 0.2089 0.2089 S
0.7911 0.2291 0.7911 S
0.7911 0.7911 0.2291 S

=====

Nd3YTl4S8, relaxed, DFT GGA-PBE; size of the total moment = 0.0 μB per formula unit; E_tot = -5.414 eV/atom
1.0
4.1471 2.3943 7.5027
-4.1471 2.3943 7.5027
0.0000 -4.7886 7.5027
Nd Y Tl S
3 1 4 8
direct
0.0000 0.5000 0.5000 Nd
0.5000 0.0000 0.5000 Nd
0.5000 0.5000 0.0000 Nd
0.0000 0.0000 0.0000 Y
0.0000 0.0000 0.5000 Tl
0.0000 0.5000 0.0000 Tl
0.5000 0.0000 0.0000 Tl
0.5000 0.5000 0.5000 Tl
0.2303 0.2303 0.7414 S
0.2303 0.7414 0.2303 S
0.2586 0.7697 0.7697 S
0.2649 0.2649 0.2649 S
0.7351 0.7351 0.7351 S
0.7414 0.2303 0.2303 S
0.7697 0.2586 0.7697 S
0.7697 0.7697 0.2586 S